Record 1
The following is a PBE-GGA calculation of a geometry-optimized NaScIr2O structure, from Alexandria.

Cell and atoms, written as CIF:
```
data_NaScIr2O
_chemical_formula_sum 'Na1 Sc1 Ir2 O1'
_cell_length_a 4.2484
_cell_length_b 4.2484
_cell_length_c 4.1762
_cell_angle_alpha 90.00
_cell_angle_beta 90.00
_cell_angle_gamma 90.00
_symmetry_space_group_name_H-M 'P 4/m m m'
_symmetry_Int_Tables_number 123
_symmetry_space_group_name_Hall '-P 4 2'
loop_
_atom_site_label
_atom_site_fract_x
_atom_site_fract_y
_atom_site_fract_z
Na1 0.0000 0.0000 0.0000
Sc1 0.5000 0.5000 0.0000
Ir1 0.0000 0.5000 0.5000
O1 0.0000 0.0000 0.5000
```

- Spin magnetization: 0.0 Bohr magnetons per cell
- Raw formation energy: -0.128 eV per atom

=====

Record 2
The following is a PBE-GGA calculation of a geometry-optimized Na2Sc2IrO6 structure, from Alexandria.

Cell and atoms, written as CIF:
```
data_Na2Sc2IrO6
_chemical_formula_sum 'Na4 Sc4 Ir2 O12'
_cell_length_a 5.4215
_cell_length_b 9.3452
_cell_length_c 5.8536
_cell_angle_alpha 90.00
_cell_angle_beta 107.19
_cell_angle_gamma 90.00
_symmetry_space_group_name_H-M 'C 1 2/m 1'
_symmetry_Int_Tables_number 12
_symmetry_space_group_name_Hall '-C 2y'
loop_
_atom_site_label
_atom_site_fract_x
_atom_site_fract_y
_atom_site_fract_z
Na1 0.0000 0.1615 0.0000
Sc1 0.0000 0.3374 0.5000
Ir1 0.0000 0.0000 0.5000
O1 0.2187 0.1646 0.6938
O2 0.2394 0.5000 0.7009
```

- Spin magnetization: 2.1 Bohr magnetons per cell
- Raw formation energy: -2.216 eV per atom

=====

Record 3
The following is a PBE-GGA calculation of a geometry-optimized NaSiIrO6 structure, from Alexandria.

Cell and atoms, written as CIF:
```
data_NaSiIrO6
_chemical_formula_sum 'Na2 Si2 Ir2 O12'
_cell_length_a 4.9489
_cell_length_b 4.9489
_cell_length_c 10.4442
_cell_angle_alpha 90.00
_cell_angle_beta 90.00
_cell_angle_gamma 120.00
_symmetry_space_group_name_H-M 'P -3 1 c'
_symmetry_Int_Tables_number 163
_symmetry_space_group_name_Hall '-P 3 2c'
loop_
_atom_site_label
_atom_site_fract_x
_atom_site_fract_y
_atom_site_fract_z
Na1 0.0000 0.0000 0.0000
Si1 0.3333 0.6667 0.2500
Ir1 0.3333 0.6667 0.7500
O1 0.0199 0.3804 0.1540
```

- Spin magnetization: 0.0 Bohr magnetons per cell
- Raw formation energy: -1.397 eV per atom

=====

Record 4
The following is a PBE-GGA calculation of a geometry-optimized NaSmIrO4 structure, from Alexandria.

Cell and atoms, written as CIF:
```
data_NaSmIrO4
_chemical_formula_sum 'Na4 Sm4 Ir4 O16'
_cell_length_a 6.5416
_cell_length_b 7.1146
_cell_length_c 8.9786
_cell_angle_alpha 90.00
_cell_angle_beta 90.00
_cell_angle_gamma 90.00
_symmetry_space_group_name_H-M 'I m m a'
_symmetry_Int_Tables_number 74
_symmetry_space_group_name_Hall '-I 2b 2'
loop_
_atom_site_label
_atom_site_fract_x
_atom_site_fract_y
_atom_site_fract_z
Na1 0.0000 0.2500 0.1153
Sm1 0.0000 0.0000 0.5000
Ir1 0.2500 0.2500 0.7500
O1 0.0000 0.0709 0.7577
O2 0.2238 0.2500 0.5217
```

- Spin magnetization: 2.6 Bohr magnetons per cell
- Raw formation energy: -1.819 eV per atom

=====

Record 5
The following is a PBE-GGA calculation of a geometry-optimized NaSmIrO6 structure, from Alexandria.

Cell and atoms, written as CIF:
```
data_NaSmIrO6
_chemical_formula_sum 'Na2 Sm2 Ir2 O12'
_cell_length_a 5.7092
_cell_length_b 5.7092
_cell_length_c 9.1792
_cell_angle_alpha 90.00
_cell_angle_beta 90.00
_cell_angle_gamma 120.00
_symmetry_space_group_name_H-M 'P -3 1 c'
_symmetry_Int_Tables_number 163
_symmetry_space_group_name_Hall '-P 3 2c'
loop_
_atom_site_label
_atom_site_fract_x
_atom_site_fract_y
_atom_site_fract_z
Na1 0.0000 0.0000 0.0000
Sm1 0.3333 0.6667 0.2500
Ir1 0.3333 0.6667 0.7500
O1 0.0551 0.3953 0.6335
```

- Spin magnetization: 1.8 Bohr magnetons per cell
- Raw formation energy: -1.405 eV per atom

=====

Record 6
The following is a PBE-GGA calculation of a geometry-optimized NaSm2IrO5 structure, from Alexandria.

Cell and atoms, written as CIF:
```
data_NaSm2IrO5
_chemical_formula_sum 'Na2 Sm4 Ir2 O10'
_cell_length_a 6.7404
_cell_length_b 6.7404
_cell_length_c 5.8054
_cell_angle_alpha 90.00
_cell_angle_beta 90.00
_cell_angle_gamma 90.00
_symmetry_space_group_name_H-M 'P 4/m b m'
_symmetry_Int_Tables_number 127
_symmetry_space_group_name_Hall '-P 4 2ab'
loop_
_atom_site_label
_atom_site_fract_x
_atom_site_fract_y
_atom_site_fract_z
Na1 0.0000 0.0000 0.0000
Sm1 0.1781 0.3219 0.5000
Ir1 0.0000 0.5000 0.0000
O1 0.0000 0.0000 0.5000
O2 0.1347 0.6347 0.2533
```

- Spin magnetization: 4.0 Bohr magnetons per cell
- Raw formation energy: -2.225 eV per atom

=====

What did the third record say?
The following is a PBE-GGA calculation of a geometry-optimized NaSiIrO6 structure, from Alexandria.

Cell and atoms, written as CIF:
```
data_NaSiIrO6
_chemical_formula_sum 'Na2 Si2 Ir2 O12'
_cell_length_a 4.9489
_cell_length_b 4.9489
_cell_length_c 10.4442
_cell_angle_alpha 90.00
_cell_angle_beta 90.00
_cell_angle_gamma 120.00
_symmetry_space_group_name_H-M 'P -3 1 c'
_symmetry_Int_Tables_number 163
_symmetry_space_group_name_Hall '-P 3 2c'
loop_
_atom_site_label
_atom_site_fract_x
_atom_site_fract_y
_atom_site_fract_z
Na1 0.0000 0.0000 0.0000
Si1 0.3333 0.6667 0.2500
Ir1 0.3333 0.6667 0.7500
O1 0.0199 0.3804 0.1540
```

- Spin magnetization: 0.0 Bohr magnetons per cell
- Raw formation energy: -1.397 eV per atom

=====

- The lowest raw formation energy belongs to which entry?
  NaSm2IrO5

=====

- The highest raw formation energy belongs to which entry?
  NaScIr2O